Below is an optimized crystal structure of CrPtN2F, with properties calculated at the PBE+U level.

abc: 3.9249 3.9249 3.7047
angles: 90.00 90.00 90.00
With the nearest neighbours (Å) after each atom.
Element x y z (fractional)
1 Cr 0.0000 0.0000 0.0000  2 F 1.85, 4 N 1.96
2 N 0.0000 0.5000 0.0000  2 Cr 1.96
3 N 0.5000 0.0000 0.0000  2 Cr 1.96
4 Pt 0.5000 0.5000 0.5000  8 N 2.70, 4 F 2.78
5 F 0.0000 0.0000 0.5000  2 Cr 1.85

Properties
- Crystal system: tetragonal
- E: -5.799 eV per atom
- Polymorph energy (0 for the lowest one): 29 meV/atom
- DOS at the Fermi energy: 0.46 states/eV/atom
- SG: P4/mmm
- Total moment: 0.330 μB/atom